Compound: CaMg3Al
Source: the Alexandria database
Functional: PBE-GGA
Structure: relaxed

Cell: 9.435 9.435 6.537 Å, 100.37 100.37 63.19°
Fractional positions:
Ca1 0.045 0.955 0.750
Ca2 0.356 0.644 0.250
Ca3 0.644 0.356 0.750
Ca4 0.955 0.045 0.250
Mg1 0.013 0.339 0.074
Mg2 0.013 0.345 0.599
Mg3 0.311 0.315 0.406
Mg4 0.315 0.311 0.906
Mg5 0.339 0.013 0.574
Mg6 0.345 0.013 0.099
Mg7 0.655 0.987 0.901
Mg8 0.661 0.987 0.426
Mg9 0.685 0.689 0.094
Mg10 0.689 0.685 0.594
Mg11 0.987 0.655 0.401
Mg12 0.987 0.661 0.926
Al1 0.253 0.581 0.713
Al2 0.419 0.747 0.787
Al3 0.581 0.253 0.213
Al4 0.747 0.419 0.287

Output
Raw total energy = -0.159 Ry/atom

---

Compound: InCoS2Cl
Source: the Alexandria database
Functional: PBE-GGA
Structure: relaxed

Cell: 4.972 4.972 4.885 Å, 90.00 90.00 90.00°
Fractional positions:
In1 0.000 0.000 0.000
Co1 0.500 0.500 0.500
S1 0.000 0.500 0.000
S2 0.500 0.000 0.000
Cl1 0.000 0.000 0.500

Output
E_form (uncorrected) = 296 kJ/mol of formula units

---

Compound: Ni2TeSe2
Source: the Alexandria database
Functional: PBE-GGA
Structure: relaxed

Cell: 4.362 5.951 8.952 Å, 107.10 90.20 111.42°
Fractional positions:
Ni1 0.023 0.263 0.323
Ni2 0.240 0.262 0.823
Ni3 0.760 0.738 0.177
Ni4 0.977 0.737 0.677
Te1 0.389 0.001 0.249
Te2 0.611 0.999 0.751
Se1 0.017 0.334 0.599
Se2 0.314 0.336 0.100
Se3 0.686 0.664 0.900
Se4 0.983 0.666 0.401

Output
E_form (uncorrected) = -37 kJ/mol of formula units

---

Compound: Ba2MgBe
Source: the Alexandria database
Functional: PBE-GGA
Structure: relaxed

Cell: 5.621 5.621 5.621 Å, 120.09 120.09 89.84°
Fractional positions:
Ba1 0.000 0.000 0.000
Ba2 0.750 0.250 0.500
Mg1 0.500 0.500 0.000
Be1 0.250 0.750 0.500

Output
Raw total energy = -0.139 Ry/atom

---

Compound: B5C7
Source: the Alexandria database
Functional: PBE-GGA
Structure: relaxed

Cell: 4.474 4.540 4.756 Å, 99.80 100.66 118.74°
Fractional positions:
B1 0.000 0.000 0.000
B2 0.002 0.712 0.196
B3 0.346 0.616 0.990
B4 0.496 0.485 0.534
B5 0.688 0.041 0.191
C1 0.167 0.830 0.548
C2 0.184 0.527 0.648
C3 0.391 0.362 0.160
C4 0.537 0.191 0.670
C5 0.669 0.319 0.017
C6 0.821 0.159 0.546
C7 0.875 0.876 0.649

Output
Raw total energy = -0.568 Ry/atom

---

Compound: PmPrSmHo2
Source: the Alexandria database
Functional: PBE-GGA
Structure: relaxed

Cell: 7.201 7.201 7.197 Å, 90.00 90.00 107.92°
Fractional positions:
Pm1 0.226 0.774 0.750
Pm2 0.774 0.226 0.250
Pr1 0.229 0.771 0.250
Pr2 0.771 0.229 0.750
Sm1 0.499 0.501 0.750
Sm2 0.501 0.499 0.250
Ho1 0.188 0.188 0.000
Ho2 0.188 0.188 0.500
Ho3 0.812 0.812 0.000
Ho4 0.812 0.812 0.500

Output
Raw total energy = -0.318 Ry/atom